HgBPt3 | GGA-PBE | relaxed

abc: 5.061 5.061 5.061
angles: 90.00 90.00 90.00
Positions (direct):
1 Pt 0.500 0.000 0.000
2 B 0.500 0.500 0.500
3 Pt 0.000 0.000 0.500
4 Hg 0.000 0.000 0.000
5 Pt 0.000 0.500 0.000

Symmetry = Pm-3m
Total moment = 0.000 μB per atom
Calculated formation energy = 2.32 eV/atom
N(E_F) = 8.840 states/eV/f.u.
Energy above the lowest structure with this stoichiometry = 2533 meV per atom

=====

HgBPt3 | GGA-PBE | relaxed

abc: 5.196 5.196 7.574
angles: 69.94 69.94 90.00
Positions (direct):
1 Hg 0.910 0.410 0.180
2 Pt 0.626 0.875 0.250
3 Pt 0.314 0.314 0.371
4 B 0.250 0.750 0.500
5 Hg 0.590 0.090 0.820
6 B 0.000 0.000 0.000
7 Pt 0.686 0.686 0.629
8 Pt 0.125 0.374 0.750
9 Pt 0.124 0.875 0.250
10 Pt 0.125 0.876 0.750

Symmetry = I-4m2
Total moment = 0.000 μB per atom
Calculated formation energy = 0.23 eV/atom
N(E_F) = 2.028 states/eV/f.u.
Energy above the lowest structure with this stoichiometry = 443 meV per atom

=====

HgBPt3 | GGA-PBE | relaxed

abc: 3.609 3.609 15.587
angles: 90.00 90.00 120.00
Positions (direct):
1 Pt 0.667 0.333 0.119
2 B 0.333 0.667 0.750
3 B 0.667 0.333 0.250
4 Pt 0.000 0.000 0.250
5 Pt 0.000 0.000 0.750
6 Pt 0.667 0.333 0.381
7 Pt 0.333 0.667 0.881
8 Pt 0.333 0.667 0.619
9 Hg 0.000 0.000 0.000
10 Hg 0.000 0.000 0.500

Symmetry = P6_3/mmc
Total moment = 0.000 μB per atom
Calculated formation energy = 0.11 eV/atom
N(E_F) = 1.775 states/eV/f.u.
Energy above the lowest structure with this stoichiometry = 322 meV per atom

=====

HgBPt3 | GGA-PBE | relaxed

abc: 5.706 8.344 6.563
angles: 90.00 90.00 90.00
Positions (direct):
1 B 0.000 0.000 0.500
2 Hg 0.065 0.250 0.978
3 B 0.000 0.500 0.500
4 Pt 0.923 0.750 0.458
5 Pt 0.218 0.535 0.763
6 Hg 0.935 0.750 0.022
7 Pt 0.782 0.465 0.237
8 Pt 0.718 0.965 0.737
9 Pt 0.077 0.250 0.542
10 Pt 0.218 0.965 0.763
11 Pt 0.577 0.250 0.958
12 B 0.500 0.500 0.000
13 Pt 0.782 0.035 0.237
14 Hg 0.435 0.750 0.478
15 Pt 0.282 0.035 0.263
16 Hg 0.565 0.250 0.522
17 Pt 0.282 0.465 0.263
18 Pt 0.718 0.535 0.737
19 Pt 0.423 0.750 0.042
20 B 0.500 0.000 0.000

Symmetry = Pnma
Total moment = 0.000 μB per atom
Calculated formation energy = -0.10 eV/atom
N(E_F) = 1.588 states/eV/f.u.
Energy above the lowest structure with this stoichiometry = 109 meV per atom

=====

HgBPt2 | GGA-PBE | relaxed

abc: 4.428 4.428 4.428
angles: 60.00 60.00 60.00
Positions (direct):
1 Hg 0.500 0.500 0.500
2 B 0.000 0.000 0.000
3 Pt 0.750 0.750 0.750
4 Pt 0.250 0.250 0.250

Symmetry = Fm-3m
Total moment = 0.000 μB per atom
Calculated formation energy = 0.79 eV/atom
N(E_F) = 2.537 states/eV/f.u.
Energy above the lowest structure with this stoichiometry = 906 meV per atom

=====

HgBPt3 | GGA-PBE | relaxed

abc: 4.230 4.307 4.307
angles: 95.80 90.00 90.00
Positions (direct):
1 Pt 0.000 0.126 0.874
2 Pt 0.500 0.626 0.874
3 Hg 0.000 0.626 0.374
4 B 0.500 0.126 0.874
5 Pt 0.500 0.126 0.374

Symmetry = Cmmm
Total moment = 0.000 μB per atom
Calculated formation energy = -0.06 eV/atom
N(E_F) = 3.660 states/eV/f.u.
Energy above the lowest structure with this stoichiometry = 148 meV per atom